RbPa2CrO8 | PBE with a Hubbard U | optimized geometry

It has space group P-1 (No. 2), with a = 5.151 Å, b = 5.568 Å, c = 6.859 Å, α = 99.94°, β = 94.31° and γ = 102.99°. Symmetry generates all atoms from Rb at (0.000, 0.000, 0.000), Pa at (0.469, 0.597, 0.258), Cr at (0.000, 0.000, 0.500), O at (0.144, 0.793, 0.346), O at (0.271, 0.308, 0.430), O at (0.290, 0.046, 0.709) and O at (0.306, 0.584, 0.952).

Its uncorrected energy is -8.102 eV/atom.